Entry 1:
This record from Alexandria via LeMat-Bulk describes a geometry-optimized H12Pd5Pt2 structure. The functional is PBE.

a = 5.096 Å, b = 5.290 Å, c = 7.431 Å
α = 108.80°, β = 99.85°, γ = 93.11°
Space group P-1 (No. 2)
Inequivalent atoms, fractional coordinates:
H: 0.127 0.462 0.361 [2 per cell]
H: 0.137 0.925 0.369 [2 per cell]
H: 0.242 0.846 0.732 [2 per cell]
H: 0.344 0.287 0.657 [2 per cell]
H: 0.355 0.087 0.088 [2 per cell]
H: 0.367 0.482 0.083 [2 per cell]
Pd: 0.428 0.188 0.885 [2 per cell]
Pd: 0.461 0.385 0.290 [2 per cell]
Pd: 0.500 0.000 0.500 [1 per cell]
Pt: 0.020 0.236 0.464 [2 per cell]

## Properties
- electronic total energy (eV per atom) = -4.091

Entry 2:
This record from Alexandria via LeMat-Bulk describes a geometry-optimized Nd2H2SeCl structure. The functional is PBE.

a = 3.9734 Å, b = 3.9734 Å, c = 8.3196 Å
α = 90.00°, β = 90.00°, γ = 120.00°
Space group P-3m1 (No. 164)
Inequivalent atoms, fractional coordinates:
Nd: 0.3333 0.6667 0.2279 [2 per cell]
H: 0.3333 0.6667 0.7381 [2 per cell]
Se: 0.0000 0.0000 0.0000 [1 per cell]
Cl: 0.0000 0.0000 0.5000 [1 per cell]

## Properties
- electronic total energy (eV per atom) = -4.877

Entry 3:
This record from Alexandria via LeMat-Bulk describes a geometry-optimized CoNi3Ir3 structure. The functional is PBE.

a = 4.5702 Å, b = 4.5702 Å, c = 30.9966 Å
α = 90.00°, β = 90.00°, γ = 120.00°
Space group R-3 (No. 148, hexagonal axes)
Inequivalent atoms, fractional coordinates:
Co: 0.0000 0.0000 0.1667 [6 per cell]
Ni: 0.0009 0.6627 0.3653 [18 per cell]
Ir: 0.0004 0.3321 0.4338 [18 per cell]

## Properties
- electronic total energy (eV per atom) = -7.113
- formation enthalpy at 0 K (meV per atom) = 177

Entry 4:
This record from Alexandria via LeMat-Bulk describes a geometry-optimized LiLa2 structure. The functional is PBE.

a = 6.6331 Å, b = 6.6331 Å, c = 11.1602 Å
α = 90.00°, β = 90.00°, γ = 120.00°
Space group P6_3/mmc (No. 194)
Inequivalent atoms, fractional coordinates:
Li: 0.3333 0.6667 0.0594 [4 per cell]
La: 0.0000 0.0000 0.0000 [2 per cell]
La: 0.1762 0.3524 0.7500 [6 per cell]

## Properties
- electronic total energy (eV per atom) = -3.517
- excess energy over the best structure of this formula in the dataset (meV per atom) = 347
- formation enthalpy at 0 K (meV per atom) = 406

Number 1: ρ 8.362 g cm⁻³. Number 2: ρ 5.911 g cm⁻³. Number 3: ρ 14.420 g cm⁻³. Number 4: ρ 4.448 g cm⁻³.